The following is a DFT calculation (PBEsol) of a relaxed NaMn6P7O24 crystal.

```
76
Lattice="5.340 0.003 0.000 -1.946 6.248 0.000 0.000 0.000 26.574" Properties=species:S:1:pos:R:3 pbc="T T T"
O -0.005 2.301 0.557
O 3.399 3.951 13.844
O 3.399 3.951 26.016
O -0.005 2.301 12.729
O 1.878 1.103 25.897
O 1.516 5.148 12.611
O 1.516 5.148 0.676
O 1.878 1.103 13.963
O -1.282 6.198 1.265
O 4.676 0.053 14.552
O 4.676 0.053 25.308
O -1.282 6.198 12.021
O 2.275 1.835 1.608
O 1.119 4.416 14.895
O 3.415 3.794 2.549
O 2.275 1.835 11.679
O -0.632 4.945 19.930
O 4.026 1.306 6.643
O 1.936 4.919 19.930
O 1.458 1.332 6.643
O 2.540 0.465 18.684
O 0.854 5.786 5.398
O 0.854 5.786 7.889
O 2.540 0.465 21.176
O 1.898 2.442 4.077
O 1.496 3.809 17.364
O 1.496 3.809 22.497
O 1.898 2.442 9.210
O 4.873 0.334 17.657
O -1.479 5.918 4.371
O -1.479 5.918 8.916
O 4.873 0.334 22.203
O 2.849 1.346 16.428
O 0.545 4.905 3.141
O 0.545 4.905 10.146
O 2.849 1.346 23.432
O 3.934 2.554 18.439
O -0.540 3.697 5.153
O -0.540 3.697 8.134
O 3.934 2.554 21.421
O 4.082 1.444 3.257
O -0.688 4.807 16.544
O -0.688 4.807 23.316
O 4.082 1.444 10.030
O 3.415 3.794 10.738
O -0.021 2.457 24.024
O -0.021 2.457 15.836
O 1.119 4.416 24.965
Na 0.418 2.729 19.930
Na 2.976 3.522 6.643
P 3.642 1.243 17.731
P 2.911 2.404 10.326
P 3.642 1.243 22.130
P -0.248 5.008 8.843
P -0.248 5.008 4.444
P 0.483 3.847 23.613
P 2.736 0.510 6.643
P 0.658 5.742 19.930
P 2.911 2.404 2.960
P 0.483 3.847 16.247
P 1.129 1.275 12.633
P 2.265 4.977 25.920
P 1.129 1.275 0.653
P 2.265 4.977 13.940
Mn 0.133 1.725 4.875
Mn 3.261 4.526 18.161
Mn 0.133 1.725 8.412
Mn 3.261 4.526 21.699
Mn 3.745 1.980 25.398
Mn -0.351 4.271 12.111
Mn -0.351 4.271 1.176
Mn 3.745 1.980 14.462
Mn 0.963 0.551 23.969
Mn 2.431 5.700 10.682
Mn 2.431 5.700 2.604
Mn 0.963 0.551 15.891
```

Its symmetry is No. 11. The calculation puts the raw formation energy at -1.9863 eV/atom. Its magnetization is 30.00 μB per formula unit. The crystal system is monoclinic. The total energy comes out at -603.94 eV/cell.

The following is a DFT calculation (PBEsol) of a relaxed LiMn2O4 crystal.

```
28
Lattice="-5.060 1.482 -1.929 0.765 -0.871 5.494 2.179 8.880 1.105" Properties=species:S:1:pos:R:3 pbc="T T T"
Li 0.136 5.261 3.685
Li 1.096 4.467 0.556
Li 0.007 0.027 0.003
Li -2.896 1.605 0.658
Mn 0.396 2.070 4.545
Mn -1.143 0.050 3.036
Mn -2.078 2.794 3.602
Mn 0.022 2.496 1.859
Mn -1.981 7.635 2.889
Mn -1.995 5.274 1.114
Mn 0.119 7.337 1.147
Mn -2.355 8.061 0.204
O 1.757 7.526 5.250
O -1.349 1.290 4.529
O -0.315 3.422 3.456
O 0.414 1.687 0.210
O 1.503 6.127 0.762
O -0.769 8.266 4.287
O 0.548 1.021 2.955
O -1.687 1.675 2.103
O -2.831 4.218 2.496
O 1.375 7.961 2.508
O -0.824 6.207 2.366
O -3.059 6.861 1.514
O -1.168 8.647 1.534
O -0.687 3.914 0.716
O -1.162 6.592 -0.060
O -3.213 4.653 -0.246
```

Its symmetry is No. 186. The calculation puts the raw formation energy at -1.7917 eV/atom. Its magnetization is 4.99 μB per formula unit. For the energy above the most stable polymorph in this dataset, the calculation gives 0.058 eV per atom. The crystal system is hexagonal. The total energy comes out at -220.11 eV/cell.

The following is a DFT calculation (PBEsol) of a relaxed Re2Rh3 crystal.

```
5
Lattice="2.694 0.000 0.000 0.000 2.694 0.000 -1.347 -1.347 9.594" Properties=species:S:1:pos:R:3 pbc="T T T"
Re 0.000 0.000 1.954
Re 1.347 1.347 7.640
Rh 1.347 1.347 0.000
Rh 0.000 0.000 5.813
Rh 1.347 1.347 3.781
```

Its symmetry is No. 139. Its magnetization is 0.00 μB per formula unit. For the energy above the most stable polymorph in this dataset, the calculation gives 0.004 eV per atom. The crystal system is tetragonal. The total energy comes out at -51.67 eV/cell. The formation energy from the elements is -0.12 eV per atom.

The following is a DFT calculation (PBEsol) of a relaxed TlCrSi2 crystal.

```
4
Lattice="3.051 0.000 0.000 1.525 2.642 0.000 1.525 0.881 8.292" Properties=species:S:1:pos:R:3 pbc="T T T"
Cr 0.000 0.000 0.000
Si 1.525 0.881 1.601
Si 4.576 2.642 6.692
Tl 3.051 1.761 4.146
```

Its symmetry is No. 166. The calculation puts the raw formation energy at 0.3049 eV/atom. Its magnetization is 0.56 μB per formula unit. For the energy above the most stable polymorph in this dataset, the calculation gives 0.000 eV per atom. The crystal system is trigonal. The total energy comes out at -23.15 eV/cell.